DFT (GGA-PBE) results for a relaxed Ce6Zn2In crystal.

Properties
Symmetry = P-1
DOS(E_F) = 20.9 states/eV per cell
Energy of formation from the pure elements = -117 meV per atom

a b c (Å): 5.9923 6.3561 6.5377
angles (deg): 85.51 66.35 86.02
Closest atoms and distances in Å follow each position.
Fractional positions:
1 Ce 0.0054 0.2852 0.3656  2 Ce 2.73-2.76
2 Ce 0.0724 0.2222 0.9358  2 Ce 2.73-2.97
3 Ce 0.4742 0.4221 0.2097  2 Ce 2.74-2.76
4 Ce 0.5258 0.5779 0.7903  2 Ce 2.74-2.76
5 Ce 0.9276 0.7778 0.0642  2 Ce 2.73-2.97
6 Ce 0.9946 0.7148 0.6344  2 Ce 2.73-2.76
7 Zn 0.3532 0.9044 0.1686  1 Zn 2.49, 1 In 2.77
8 Zn 0.6468 0.0956 0.8314  1 Zn 2.49, 1 In 2.77
9 In 0.5000 0.0000 0.5000  2 Zn 2.77